Material: La2Pm6NdSm
Method: DFT, PBE-GGA
State: optimized geometry Values from VASP.

Quantum ESPRESSO input file:
```
&SYSTEM
  ibrav = 0, nat = 20, ntyp = 4
/
ATOMIC_SPECIES
La 138.91 La.upf
Pm 145.00 Pm.upf
Nd 144.24 Nd.upf
Sm 150.36 Sm.upf
CELL_PARAMETERS angstrom
4.602 -7.637 0.000
4.602 7.637 0.000
-1.822 0.000 10.016
ATOMIC_POSITIONS angstrom
La 2.118 0.740 0.401
La 1.207 -0.740 5.409
La 6.175 0.740 4.607
La 5.264 -0.740 9.615
Pm 2.421 4.266 1.888
Pm 2.927 4.712 5.569
Pm 3.545 4.712 9.456
Pm 3.005 1.570 3.795
Pm 5.873 4.266 3.120
Pm 5.288 1.570 1.213
Pm 2.094 -1.570 8.803
Pm 1.510 -4.266 6.896
Pm 4.377 -1.570 6.221
Pm 3.838 -4.712 0.560
Pm 4.455 -4.712 4.448
Pm 4.962 -4.266 8.128
Nd 4.147 7.473 2.504
Nd 3.236 -7.473 7.512
Sm 3.236 1.457 7.512
Sm 4.147 -1.457 2.504
```

Calculated values
crystal system: monoclinic
formation enthalpy at 0 K: 0.111 eV/atom
final energy: -0.343 Ry per atom
symmetry: C2/c, No. 15
total magnetization: 0.000 μB per formula unit